10
Lattice="8.8319 0.0000 0.0000 0.0000 8.8319 0.0000 0.0000 0.0000 6.7844" Properties=species:S:1:pos:R:3 comment="PBE-GGA Ba2Sr2Cd, relaxed" formation_enthalpy_0k_mev_per_atom=24 polymorph_energy_mev_per_atom=157.1 dos_ef_per_ev_fu=6.238 spacegroup="No. 127" pbc="T T T"
Ba 1.5199 2.8961 0.0000
Ba 2.8961 7.3121 0.0000
Ba 5.9358 1.5199 0.0000
Ba 7.3121 5.9358 0.0000
Sr 1.3790 5.7949 3.3922
Sr 3.0370 1.3790 3.3922
Sr 5.7949 7.4530 3.3922
Sr 7.4530 3.0370 3.3922
Cd 0.0000 0.0000 3.3922
Cd 4.4160 4.4160 3.3922

8
Lattice="-2.9729 2.9729 10.5126 2.9729 -2.9729 10.5126 2.9729 2.9729 -10.5126" Properties=species:S:1:pos:R:3 comment="PBE-GGA BaSr2Cd, relaxed" formation_enthalpy_0k_mev_per_atom=-173 dos_ef_per_ev_fu=3.819 spacegroup="No. 139" pbc="T T T"
Ba 0.0000 0.0000 3.2023
Ba 0.0000 0.0000 17.8229
Sr 2.9729 0.0000 0.0000
Sr 0.0000 0.0000 7.2274
Sr 0.0000 2.9729 0.0000
Sr 0.0000 0.0000 13.7978
Cd 2.9729 0.0000 5.2563
Cd 0.0000 2.9729 5.2563